InCu2Ag | PBE-GGA | relaxed

total magnetic moment: 0.0 μB/f.u.
E: -3.35 eV per atom
space-group type: R3m
calculated formation energy: 0.10 eV/atom
V: 16.1 Å³/atom

Cell lengths 4.4901, 4.4901, 4.5076 Å; angles 60.13, 60.13, 60.00 degrees
Fractional coordinates of all 4 atoms:
In1 0.7497 0.7497 0.7509
Cu1 0.9990 0.9990 0.0028
Cu2 0.2508 0.2508 0.2476
Ag1 0.5005 0.5005 0.4986